(1)
A plane-wave DFT calculation with PBE was carried out for a relaxed YNbRe2 crystal.

Structure (POSCAR):
```
YNbRe2
1.0
-7.103 0.031 2.430
0.150 -7.486 0.534
-2.568 -3.521 4.134
Nb Y Re
2 2 4
Direct
0.750 0.250 0.500 Nb
0.000 0.000 0.000 Nb
0.250 0.750 0.500 Y
0.500 0.500 0.000 Y
0.375 0.344 0.750 Re
0.875 0.906 0.750 Re
0.656 0.125 0.250 Re
0.094 0.625 0.250 Re
```

Results
DOS at the Fermi energy (states/eV/f.u.): 3.447
Formation enthalpy at 0 K (eV/f.u.): 3.0
SG: I-42d, No. 122

***

(2)
A plane-wave DFT calculation with PBE was carried out for a relaxed YNb3Re crystal.

Structure (POSCAR):
```
YNb3Re
1.0
4.930 0.000 0.000
0.000 4.930 0.000
0.000 0.000 4.930
Re Nb Y
1 3 1
Direct
0.000 0.000 0.000 Re
0.000 0.500 0.000 Nb
0.500 0.000 0.000 Nb
0.000 0.000 0.500 Nb
0.500 0.500 0.500 Y
```

Results
DOS at the Fermi energy (states/eV/f.u.): 9.556
Formation enthalpy at 0 K (eV/f.u.): 3.8
SG: Pm-3m, No. 221

***

(3)
A plane-wave DFT calculation with PBE was carried out for a relaxed Y2NbRe2 crystal.

Structure (POSCAR):
```
Y2NbRe2
1.0
-4.672 -4.806 -0.762
2.931 -1.935 -5.760
2.775 -3.086 2.449
Y Re Nb
4 4 2
Direct
0.824 0.324 0.500 Y
0.176 0.676 0.500 Y
0.324 0.176 0.500 Y
0.676 0.824 0.500 Y
0.127 0.373 0.000 Re
0.873 0.627 0.000 Re
0.373 0.873 0.000 Re
0.627 0.127 0.000 Re
0.000 0.000 0.000 Nb
0.500 0.500 0.000 Nb
```

Results
DOS at the Fermi energy (states/eV/f.u.): 5.152
Formation enthalpy at 0 K (eV/f.u.): 0.6
SG: P4/mbm, No. 127

***

(4)
A plane-wave DFT calculation with PBE was carried out for a relaxed NbZnRe2 crystal.

Structure (POSCAR):
```
NbZnRe2
1.0
7.158 0.000 0.000
0.000 7.158 0.000
3.579 3.579 2.653
Zn Re Nb
2 4 2
Direct
0.500 0.500 0.000 Zn
0.250 0.750 0.500 Zn
0.375 0.375 0.750 Re
0.625 0.125 0.250 Re
0.875 0.875 0.750 Re
0.125 0.625 0.250 Re
0.000 0.000 0.000 Nb
0.750 0.250 0.500 Nb
```

Results
DOS at the Fermi energy (states/eV/f.u.): 3.945
Formation enthalpy at 0 K (eV/f.u.): 3.6
SG: I-42d, No. 122

***

(5)
A plane-wave DFT calculation with PBE was carried out for a relaxed Nb2ZnRe crystal.

Structure (POSCAR):
```
Nb2ZnRe
1.0
-0.033 -0.521 -3.205
1.235 -2.966 0.470
-5.787 -2.340 0.439
Zn Nb Re
1 2 1
Direct
0.500 0.500 0.500 Zn
0.000 0.000 0.754 Nb
0.000 0.000 0.246 Nb
0.500 0.500 0.000 Re
```

Results
DOS at the Fermi energy (states/eV/f.u.): 2.468
Formation enthalpy at 0 K (eV/f.u.): -0.3
SG: P4/mmm, No. 123

***

(6)
A plane-wave DFT calculation with PBE was carried out for a relaxed NbZnRe3 crystal.

Structure (POSCAR):
```
NbZnRe3
1.0
-3.573 -2.498 -0.952
-0.916 -0.350 4.353
-2.511 3.681 -0.233
Re Nb Zn
3 1 1
Direct
0.500 0.000 0.000 Re
0.000 0.000 0.500 Re
0.000 0.500 0.000 Re
0.500 0.500 0.500 Nb
0.000 0.000 0.000 Zn
```

Results
DOS at the Fermi energy (states/eV/f.u.): 6.702
Formation enthalpy at 0 K (eV/f.u.): 8.6
SG: Pm-3m, No. 221

***

(7)
A plane-wave DFT calculation with PBE was carried out for a relaxed NbZnRe3 crystal.

Structure (POSCAR):
```
NbZnRe3
1.0
-0.961 4.488 1.314
-4.667 -0.838 -0.553
-0.289 -1.396 4.556
Nb Re Zn
1 3 1
Direct
0.000 0.000 0.000 Nb
0.500 0.000 0.000 Re
0.000 0.000 0.500 Re
0.000 0.500 0.000 Re
0.500 0.500 0.500 Zn
```

Results
DOS at the Fermi energy (states/eV/f.u.): 6.624
Formation enthalpy at 0 K (eV/f.u.): 12.0
SG: Pm-3m, No. 221

***

(8)
A plane-wave DFT calculation with PBE was carried out for a relaxed Nb2ZnRe crystal.

Structure (POSCAR):
```
Nb2ZnRe
1.0
7.311 0.000 0.000
0.000 7.311 0.000
3.656 3.656 2.729
Re Nb Zn
2 4 2
Direct
0.750 0.250 0.500 Re
0.000 0.000 0.000 Re
0.875 0.902 0.750 Nb
0.375 0.348 0.750 Nb
0.098 0.625 0.250 Nb
0.652 0.125 0.250 Nb
0.250 0.750 0.500 Zn
0.500 0.500 0.000 Zn
```

Results
DOS at the Fermi energy (states/eV/f.u.): 5.527
Formation enthalpy at 0 K (eV/f.u.): 2.2
SG: I-42d, No. 122

***

(9)
A plane-wave DFT calculation with PBE was carried out for a relaxed Nb6ZnRe crystal.

Structure (POSCAR):
```
Nb6ZnRe
1.0
4.456 0.000 1.342
-0.404 4.437 1.342
0.252 0.276 7.231
Nb Zn Re
6 1 1
Direct
0.378 0.878 0.245 Nb
0.878 0.378 0.245 Nb
0.122 0.622 0.755 Nb
0.622 0.122 0.755 Nb
0.749 0.749 0.501 Nb
0.251 0.251 0.499 Nb
0.500 0.500 0.000 Zn
0.000 0.000 0.000 Re
```

Results
DOS at the Fermi energy (states/eV/f.u.): 7.763
Formation enthalpy at 0 K (eV/f.u.): -0.4
SG: I4/mmm, No. 139

***

(10)
A plane-wave DFT calculation with PBE was carried out for a relaxed Nb2ZnRe crystal.

Structure (POSCAR):
```
Nb2ZnRe
1.0
-1.641 -1.056 -2.296
1.340 -1.495 -2.247
-1.279 -8.378 2.790
Nb Zn Re
2 1 1
Direct
0.753 0.753 0.740 Nb
0.247 0.247 0.260 Nb
0.000 0.000 0.000 Zn
0.500 0.500 0.500 Re
```

Results
DOS at the Fermi energy (states/eV/f.u.): 4.683
Formation enthalpy at 0 K (eV/f.u.): 0.7
SG: R-3m, No. 166

***

(11)
A plane-wave DFT calculation with PBE was carried out for a relaxed Nb2Zn2Re crystal.

Structure (POSCAR):
```
Nb2Zn2Re
1.0
6.758 0.000 0.000
0.000 6.758 0.000
0.000 0.000 3.452
Zn Nb Re
4 4 2
Direct
0.125 0.375 0.000 Zn
0.875 0.625 0.000 Zn
0.375 0.875 0.000 Zn
0.625 0.125 0.000 Zn
0.322 0.178 0.500 Nb
0.822 0.322 0.500 Nb
0.678 0.822 0.500 Nb
0.178 0.678 0.500 Nb
0.500 0.500 0.000 Re
0.000 0.000 0.000 Re
```

Results
DOS at the Fermi energy (states/eV/f.u.): 2.517
Formation enthalpy at 0 K (eV/f.u.): 0.2
SG: P4/mbm, No. 127

***

(12)
A plane-wave DFT calculation with PBE was carried out for a relaxed ZrNbRe crystal.

Structure (POSCAR):
```
ZrNbRe
1.0
-4.627 -2.425 0.771
2.263 -1.253 -4.604
3.356 -1.667 3.939
Re Nb Zr
2 2 2
Direct
0.250 0.750 0.500 Re
0.750 0.250 0.500 Re
0.174 0.174 0.347 Nb
0.826 0.826 0.653 Nb
0.324 0.676 0.000 Zr
0.676 0.324 0.000 Zr
```

Results
DOS at the Fermi energy (states/eV/f.u.): 2.083
Formation enthalpy at 0 K (eV/f.u.): 0.0
SG: Fmmm, No. 69

***

Question: The lowest formation enthalpy at 0 K belongs to which entry?
Answer: Nb6ZnRe